# 1
MgHg2Bi PBE-GGA optimized geometry; N(E_F) = 1.06 states/eV per cell; electronic total energy = -1.581 eV per atom; volume = 238.15 Å³ per cell
1.0
4.471 0.000 0.000
0.000 3.563 0.000
-2.247 0.000 14.949
Mg Hg Bi
2 4 2
Direct
0.221 0.250 0.439
0.779 0.750 0.561
0.090 0.750 0.179
0.456 0.750 0.913
0.544 0.250 0.087
0.910 0.250 0.821
0.321 0.250 0.644
0.679 0.750 0.356

# 2
AcTcPd PBE-GGA optimized geometry; N(E_F) = 4.82 states/eV per cell; electronic total energy = -6.430 eV per atom; volume = 138.92 Å³ per cell
1.0
3.614 0.000 0.000
0.000 3.614 0.000
0.000 0.000 10.637
Ac Tc Pd
2 2 2
Direct
0.000 0.000 0.188
0.000 0.000 0.812
0.500 0.500 0.393
0.500 0.500 0.607
0.000 0.000 0.500
0.500 0.500 0.000

# 3
TaNbFe PBE-GGA optimized geometry; N(E_F) = 6.78 states/eV per cell; electronic total energy = -10.226 eV per atom; volume = 94.83 Å³ per cell
1.0
-2.574 3.037 3.033
2.574 -3.037 3.033
2.574 3.037 -3.033
Ta Nb Fe
2 2 2
Direct
0.164 0.250 0.414
0.836 0.750 0.586
0.165 0.578 0.087
0.491 0.078 0.913
0.666 0.166 0.500
0.666 0.666 0.000

# 4
Sm2ErHfP4 PBE-GGA optimized geometry; N(E_F) = 1.43 states/eV per cell; electronic total energy = -7.210 eV per atom; volume = 175.47 Å³ per cell
1.0
6.850 0.000 0.000
0.000 3.951 0.000
-2.261 0.000 6.483
Sm Er Hf P
2 1 1 4
Direct
0.000 0.000 0.000
0.500 0.500 0.000
0.000 0.500 0.500
0.500 0.000 0.500
0.254 0.000 0.734
0.265 0.500 0.271
0.735 0.500 0.729
0.746 0.000 0.266

# 5
CaTmTlAg PBE-GGA optimized geometry; N(E_F) = 1.59 states/eV per cell; electronic total energy = -3.282 eV per atom; volume = 104.31 Å³ per cell
1.0
3.714 0.000 0.000
0.000 3.714 0.000
0.000 0.000 7.561
Ca Tm Tl Ag
1 1 1 1
Direct
0.000 0.000 0.000
0.000 0.000 0.529
0.500 0.500 0.276
0.500 0.500 0.738

# 6
HfNb3Ga PBE-GGA optimized geometry; N(E_F) = 6.80 states/eV per cell; electronic total energy = -7.776 eV per atom; volume = 109.03 Å³ per cell
1.0
4.777 0.000 0.000
0.000 4.777 0.000
0.000 0.000 4.777
Hf Nb Ga
1 3 1
Direct
0.000 0.000 0.000
0.000 0.500 0.500
0.500 0.000 0.500
0.500 0.500 0.000
0.500 0.500 0.500